This record from the Alexandria database describes BeSiSb2 after structural relaxation. The functional is GGA-PBE.

Magnetic moment, μB per formula unit: 0.00
ΔE_f (raw), meV/atom: 358.5
D(E_F), states/eV/f.u.: 1.7
Uncorrected energy, eV/atom: -3.990

a = 4.9253 Å, b = 4.1668 Å, c = 4.1668 Å
α = 79.75°, β = 90.00°, γ = 90.00°
Fractional positions:
Be  0.0000  0.0000  0.0000
Si  0.5000  0.7793  0.7793
Sb  0.0000  0.5903  0.5903
Sb  0.5000  0.1939  0.1939